# 1
# PBE ZrAl10Tc2, relaxed
data_ZrAl10Tc2
_cell_length_a 9.077
_cell_length_b 10.251
_cell_length_c 9.097
_cell_angle_alpha 90.00
_cell_angle_beta 90.00
_cell_angle_gamma 90.00
_symmetry_space_group_name_H-M 'C m c m'
_symmetry_Int_Tables_number 63
_symmetry_space_group_name_Hall '-C 2c 2'
loop_
_atom_site_label
_atom_site_fract_x
_atom_site_fract_y
_atom_site_fract_z
_atom_site_occupancy
Zr1 0.000 0.136 0.250 1
Al1 0.000 0.143 0.596 1
Al2 0.000 0.373 0.039 1
Al3 0.159 0.369 0.750 1
Al4 0.219 0.365 0.250 1
Al5 0.227 0.000 0.000 1
Tc1 0.250 0.250 0.000 1
# DFT total energy   -0.4044 Ry/atom
# DOS at the Fermi energy   0.57 states/eV/atom
# ΔE_f   -0.3714 eV per atom



# 2
# PBE ZrAl2Tc, relaxed
data_ZrAl2Tc
_cell_length_a 2.864
_cell_length_b 4.310
_cell_length_c 5.618
_cell_angle_alpha 90.00
_cell_angle_beta 104.42
_cell_angle_gamma 90.00
_symmetry_space_group_name_H-M 'P 1 2/m 1'
_symmetry_Int_Tables_number 10
loop_
_symmetry_equiv_pos_as_xyz
'x,y,z'
'-x,-y,-z'
'-x,y,-z'
'x,-y,z'
loop_
_atom_site_label
_atom_site_fract_x
_atom_site_fract_y
_atom_site_fract_z
_atom_site_occupancy
Zr1 0.000 0.000 0.000 1
Al1 0.412 0.500 0.727 1
Tc1 0.000 0.000 0.500 1
# DFT total energy   -0.5089 Ry/atom
# ΔE to the lowest computed polymorph   18.6 kJ/mol of formula units
# DOS at the Fermi energy   0.60 states/eV/atom
# ΔE_f   -0.3245 eV per atom



# 3
# PBE Zr2AlTc, relaxed
data_Zr2AlTc
_cell_length_a 3.2169
_cell_length_b 3.2169
_cell_length_c 26.1744
_cell_angle_alpha 90.00
_cell_angle_beta 90.00
_cell_angle_gamma 120.00
_symmetry_space_group_name_H-M 'R -3 m'
_symmetry_Int_Tables_number 166
_symmetry_space_group_name_Hall '-R 3 2"'
loop_
_atom_site_label
_atom_site_fract_x
_atom_site_fract_y
_atom_site_fract_z
_atom_site_occupancy
Zr1 0.0000 0.0000 0.2443 1
Al1 0.0000 0.0000 0.0000 1
Tc1 0.0000 0.0000 0.5000 1
# DFT total energy   -0.5835 Ry/atom
# DOS at the Fermi energy   0.74 states/eV/atom
# ΔE_f   -0.1375 eV per atom